# InRuW2O (PBE with a Hubbard U, optimized geometry)
data_InRuW2O
_chemical_formula_sum 'In1 Ru1 W2 O1'
_cell_length_a 4.985
_cell_length_b 4.985
_cell_length_c 5.142
_cell_angle_alpha 90.00
_cell_angle_beta 90.00
_cell_angle_gamma 90.00
_symmetry_space_group_name_H-M 'P 4/m m m'
_symmetry_Int_Tables_number 123
_symmetry_space_group_name_Hall '-P 4 2'
loop_
_atom_site_label
_atom_site_type_symbol
_atom_site_fract_x
_atom_site_fract_y
_atom_site_fract_z
In1 In 0.000 0.000 0.000
Ru1 Ru 0.000 0.000 0.500
W1 W 0.000 0.500 0.500
O1 O 0.500 0.500 0.000
# **Fermi-level density of states**: 0.809 states/eV per atom
# **VASP energy**: -4.788 eV per atom